Entry 1:
First-principles (GGA-PBE) data for a relaxed structure of BaAgP, as listed in Alexandria via LeMat-Bulk.

The space group is Fmm2 (No. 42) and the conventional cell measures 4.7616, 6.8667 and 10.8946 Å, with angles of 90.00, 90.00 and 90.00 degrees. The asymmetric unit holds Ba at (0.0000, 0.0000, 0.0000), Ag at (0.0000, 0.0000, 0.2801) and P at (0.0000, 0.0000, 0.6975).

The calculated formation energy comes out at -0.18 eV/atom. The total magnetic moment is 0.00 μB/f.u.

Entry 2:
First-principles (GGA-PBE) data for a relaxed structure of Na3BiRu, as listed in Alexandria via LeMat-Bulk.

The space group is Pm-3m (No. 221) and the conventional cell measures 5.3177, 5.3177 and 5.3177 Å, with angles of 90.00, 90.00 and 90.00 degrees. The asymmetric unit holds Na at (0.0000, 0.0000, 0.5000), Bi at (0.5000, 0.5000, 0.5000) and Ru at (0.0000, 0.0000, 0.0000).

The calculated formation energy comes out at 1.00 eV/atom. The total magnetic moment is 0.00 μB/f.u.

Entry 3:
First-principles (GGA-PBE) data for a relaxed structure of Ru6W7, as listed in Alexandria via LeMat-Bulk.

The space group is R-3m (No. 166, hexagonal axes) and the conventional cell measures 5.1585, 5.1585 and 26.8744 Å, with angles of 90.00, 90.00 and 120.00 degrees. The asymmetric unit holds Ru at (0.0000, 0.0000, 0.0458), Ru at (0.0000, 0.0000, 0.1543), Ru at (0.0000, 0.0000, 0.3320), W at (0.0000, 0.0000, 0.5000) and W at (0.0024, 0.5012, 0.9134).

The calculated formation energy comes out at 0.33 eV/atom. The total magnetic moment is 0.00 μB/f.u.

Entry 4:
First-principles (GGA-PBE) data for a relaxed structure of BaReNi3, as listed in Alexandria via LeMat-Bulk.

The space group is Pm-3m (No. 221) and the conventional cell measures 4.6797, 4.6797 and 4.6797 Å, with angles of 90.00, 90.00 and 90.00 degrees. The asymmetric unit holds Ba at (0.0000, 0.0000, 0.0000), Re at (0.5000, 0.5000, 0.5000) and Ni at (0.0000, 0.0000, 0.5000).

The calculated formation energy comes out at 2.64 eV/atom. The total magnetic moment is 0.00 μB/f.u. For the distance to the lowest polymorph of the same formula, the calculation gives 2003 meV per atom.

The lowest calculated formation energy belongs to which entry? BaAgP

Which formula does entry 1 have? BaAgP

What is the formula in the third record? Ru6W7